{
  "formula": "InFeNi2Te",
  "functional": "GGA-PBE",
  "state": "relaxed",
  "e_form_raw_ev_per_atom": 0.686,
  "lattice_angstrom": [[-2.663, 3.724, 0.895], [-2.669, -0.965, -3.927], [-2.840, -2.652, 2.582]],
  "species": ["Ni", "Ni", "Te", "Fe", "In"],
  "fractional_positions": [[0.000, 0.000, 0.500], [0.500, 0.000, 0.000], [0.000, 0.000, 0.000], [0.000, 0.500, 0.000], [0.500, 0.500, 0.500]]
}